1.
Sr2LiHg3: optimized geometry, PBE.

Computed properties:
Formation energy from the elements   -2.61 eV/f.u.

Cell: 4.147 4.905 8.748 Å, 90.00 90.00 90.00°
Atoms (fractional coordinates):
1 Sr 0.000 0.000 0.000
2 Sr 0.000 0.500 0.483
3 Li 0.500 0.500 0.821
4 Hg 0.500 0.000 0.333
5 Hg 0.500 0.000 0.678
6 Hg 0.500 0.500 0.137

=====

2.
Sr2LiHg12: optimized geometry, PBE.

Computed properties:
Formation energy from the elements   -3.25 eV/f.u.

Cell: 6.705 6.705 18.406 Å, 90.00 90.00 90.00°
Atoms (fractional coordinates):
1 Sr 0.250 0.750 0.249
2 Sr 0.250 0.750 0.751
3 Sr 0.750 0.250 0.249
4 Sr 0.750 0.250 0.751
5 Li 0.250 0.750 0.000
6 Li 0.750 0.250 0.000
7 Hg 0.001 0.501 0.082
8 Hg 0.001 0.999 0.918
9 Hg 0.088 0.588 0.431
10 Hg 0.088 0.912 0.569
11 Hg 0.250 0.250 0.184
12 Hg 0.250 0.250 0.340
13 Hg 0.250 0.250 0.660
14 Hg 0.250 0.250 0.816
15 Hg 0.412 0.588 0.569
16 Hg 0.412 0.912 0.431
17 Hg 0.499 0.501 0.918
18 Hg 0.499 0.999 0.082
19 Hg 0.501 0.001 0.918
20 Hg 0.501 0.499 0.082
21 Hg 0.588 0.088 0.569
22 Hg 0.588 0.412 0.431
23 Hg 0.750 0.750 0.184
24 Hg 0.750 0.750 0.340
25 Hg 0.750 0.750 0.660
26 Hg 0.750 0.750 0.816
27 Hg 0.912 0.088 0.431
28 Hg 0.912 0.412 0.569
29 Hg 0.999 0.001 0.082
30 Hg 0.999 0.499 0.918

=====

3.
Sr2Li5Hg3: optimized geometry, PBE.

Computed properties:
Formation energy from the elements   -3.20 eV/f.u.

Cell: 13.647 13.647 7.949 Å, 90.00 90.00 160.21°
Atoms (fractional coordinates):
1 Sr 0.021 0.979 0.500
2 Sr 0.344 0.656 0.999
3 Sr 0.656 0.344 0.499
4 Sr 0.979 0.021 0.000
5 Li 0.108 0.892 0.855
6 Li 0.214 0.786 0.169
7 Li 0.218 0.782 0.812
8 Li 0.352 0.648 0.511
9 Li 0.445 0.555 0.677
10 Li 0.555 0.445 0.177
11 Li 0.648 0.352 0.011
12 Li 0.782 0.218 0.312
13 Li 0.786 0.214 0.669
14 Li 0.892 0.108 0.355
15 Hg 0.111 0.889 0.203
16 Hg 0.252 0.748 0.488
17 Hg 0.447 0.553 0.299
18 Hg 0.553 0.447 0.799
19 Hg 0.748 0.252 0.988
20 Hg 0.889 0.111 0.703